CaAlHg2: optimized geometry, PBE.

Calculated values
Its crystal system is tetragonal. The calculation puts the calculated formation energy at -93.4 kJ/mol of formula units.

```
CaAlHg2
1.0
-0.8332 -3.0072 1.8619
1.9137 -1.9913 -2.3597
5.8448 0.8641 4.0110
Al Hg Ca
1 2 1
direct
0.5000 0.5000 0.2500
0.0000 0.0000 0.0237
0.0000 0.0000 0.4763
0.5000 0.5000 0.7500
```

BaTlBr4: optimized geometry, PBE.

Calculated values
Its crystal system is cubic. The energy relative to the elements, uncorrected comes out at -694.6 meV/atom.

```
BaTlBr4
1.0
-2.5692 -0.5884 6.0902
-6.1886 2.0707 1.2048
-4.8117 -4.4208 1.1585
Br Ba Tl
4 1 1
direct
0.8755 0.3748 0.3748
0.3748 0.3748 0.8755
0.3748 0.8755 0.3748
0.3748 0.3748 0.3748
0.0000 0.0000 0.0000
0.7500 0.7500 0.7500
```

Ordered mass density results: 8.25 5.31; unit g/cm³.
Ordered magnetization results: 0.000 1.045; unit Bohr magnetons per cell.